DFT (PBE) results for an optimized crystal structure of Tb6AgRh3.

Cell: 11.591 4.088 11.741 Å, 90.00 108.37 90.00°
Fractional coordinates of all 20 atoms:
Tb (0.042, 0.250, 0.406)
Tb (0.114, 0.250, 0.968)
Tb (0.204, 0.750, 0.268)
Tb (0.259, 0.750, 0.779)
Tb (0.371, 0.250, 0.549)
Tb (0.440, 0.750, 0.104)
Tb (0.560, 0.250, 0.896)
Tb (0.629, 0.750, 0.451)
Tb (0.741, 0.250, 0.221)
Tb (0.796, 0.250, 0.732)
Tb (0.886, 0.750, 0.032)
Tb (0.958, 0.750, 0.594)
Ag (0.429, 0.250, 0.303)
Ag (0.571, 0.750, 0.697)
Rh (0.029, 0.250, 0.171)
Rh (0.196, 0.750, 0.518)
Rh (0.342, 0.250, 0.939)
Rh (0.658, 0.750, 0.061)
Rh (0.804, 0.250, 0.482)
Rh (0.971, 0.750, 0.829)

crystal system = monoclinic
DFT formation energy = -54.4 kJ per mole of atoms
uncorrected energy = -5.83 eV per atom
E above lowest polymorph = 0.0000 eV/atom

---

DFT (PBE) results for an optimized crystal structure of Ti6SiC.

Cell: 5.377 5.384 6.055 Å, 63.70 63.87 60.12°
Fractional coordinates of all 8 atoms:
Ti (0.039, 0.411, 0.270)
Ti (0.220, 0.963, 0.730)
Ti (0.410, 0.780, 0.271)
Ti (0.590, 0.220, 0.729)
Ti (0.780, 0.037, 0.270)
Ti (0.961, 0.589, 0.730)
Si (0.500, 0.500, 0.000)
C (0.000, 0.000, 0.500)

crystal system = triclinic
uncorrected energy = -7.95 eV per atom

---

DFT (PBE) results for an optimized crystal structure of SrHfCl2.

Cell: 9.290 9.290 9.290 Å, 147.98 147.98 45.91°
Fractional coordinates of all 8 atoms:
Sr (0.000, 0.000, 0.000)
Sr (0.750, 0.250, 0.500)
Hf (0.250, 0.750, 0.500)
Hf (0.500, 0.500, 0.000)
Cl (0.200, 0.625, 0.075)
Cl (0.375, 0.450, 0.575)
Cl (0.550, 0.125, 0.925)
Cl (0.875, 0.800, 0.425)

crystal system = tetragonal
uncorrected energy = -4.50 eV per atom
E above lowest polymorph = 0.2350 eV/atom

---

DFT (PBE) results for an optimized crystal structure of RbBeAl3.

Cell: 6.073 6.073 6.073 Å, 90.00 90.00 90.00°
Fractional coordinates of all 5 atoms:
Rb (0.000, 0.000, 0.000)
Be (0.500, 0.500, 0.500)
Al (0.000, 0.000, 0.500)
Al (0.000, 0.500, 0.000)
Al (0.500, 0.000, 0.000)

crystal system = cubic
DFT formation energy = 209.7 kJ per mole of atoms
uncorrected energy = -1.01 eV per atom
E above lowest polymorph = 1.6115 eV/atom

---

Q: Which of these has the highest uncorrected energy?
A: RbBeAl3

---

Q: Which value of uncorrected energy does entry 4 give?
A: -1.01 eV per atom

---

Q: uncorrected energy of number 1 (Tb6AgRh3)?
A: -5.83 eV per atom